An optimized crystal structure of PuHfPa3. Source: Alexandria, functional PBE-GGA.

Properties
SG: No. 74
energy of formation: 0.2891 eV per atom

Unit cell a=5.782 b=7.354 c=11.596 alpha=90.00 beta=90.00 gamma=90.00
Site moments in Bohr magnetons follow the coordinates.
Fractional positions:
Pa: 0.500 0.595 0.886  0.08
Pa: 0.750 0.750 0.250  0.09
Pa: 0.000 0.095 0.114  0.08
Pa: 0.500 0.595 0.614  0.08
Pa: 0.750 0.250 0.750  0.09
Pa: 0.500 0.405 0.114  0.08
Pa: 0.500 0.405 0.386  0.08
Pa: 0.000 0.905 0.614  0.08
Pa: 0.250 0.750 0.250  0.09
Pa: 0.250 0.250 0.750  0.09
Pa: 0.000 0.905 0.886  0.08
Pa: 0.000 0.095 0.386  0.08
Hf: 0.500 0.000 0.000  -0.02
Hf: 0.000 0.500 0.500  -0.02
Hf: 0.500 0.000 0.500  -0.02
Hf: 0.000 0.500 0.000  -0.02
Pu: 0.000 0.593 0.750  4.62
Pu: 0.000 0.407 0.250  4.62
Pu: 0.500 0.093 0.250  4.62
Pu: 0.500 0.907 0.750  4.62